(1)
Entry from Alexandria: an optimized crystal structure of TlCuAg (GGA-PBE).

a b c (Å): 6.588 6.588 5.122
angles (deg): 102.48 102.48 33.41
Atoms (fractional coordinates):
Tl  0.126  0.126  0.317
Tl  0.874  0.874  0.683
Cu  0.228  0.228  0.848
Cu  0.772  0.772  0.152
Ag  0.430  0.430  0.213
Ag  0.570  0.570  0.787

energy relative to the elements = 195 meV per atom
M_tot = 0.0 μB/f.u.
space group = No. 12
calculated total energy = -17.46 eV/cell
energy relative to the lowest polymorph listed for this composition = 0 meV per atom
mass density = 10.5 Mg/m³

---

(2)
Entry from Alexandria: an optimized crystal structure of TlCu2Ag2 (GGA-PBE).

a b c (Å): 7.032 7.032 3.554
angles (deg): 90.00 90.00 90.00
Atoms (fractional coordinates):
Tl  0.000  0.000  0.000
Tl  0.500  0.500  0.000
Cu  0.128  0.372  0.000
Cu  0.372  0.872  0.000
Cu  0.628  0.128  0.000
Cu  0.872  0.628  0.000
Ag  0.161  0.661  0.500
Ag  0.339  0.161  0.500
Ag  0.661  0.839  0.500
Ag  0.839  0.339  0.500

energy relative to the elements = 187 meV per atom
M_tot = 0.0 μB/f.u.
space group = No. 127
calculated total energy = -30.65 eV/cell
energy relative to the lowest polymorph listed for this composition = 0 meV per atom
mass density = 10.3 Mg/m³

---

(3)
Entry from Alexandria: an optimized crystal structure of TlCuAg (GGA-PBE).

a b c (Å): 5.332 5.332 5.332
angles (deg): 141.98 141.98 54.86
Atoms (fractional coordinates):
Tl  0.000  0.000  0.000
Cu  0.321  0.321  0.000
Ag  0.692  0.692  0.000

energy relative to the elements = 218 meV per atom
M_tot = 0.0 μB/f.u.
space group = No. 107
calculated total energy = -8.66 eV/cell
energy relative to the lowest polymorph listed for this composition = 23 meV per atom
mass density = 10.9 Mg/m³

---

(4)
Entry from Alexandria: an optimized crystal structure of TlCuAg2 (GGA-PBE).

a b c (Å): 3.253 3.253 7.178
angles (deg): 90.00 90.00 90.00
Atoms (fractional coordinates):
Tl  0.000  0.000  0.000
Cu  0.000  0.000  0.500
Ag  0.500  0.500  0.297
Ag  0.500  0.500  0.703

energy relative to the elements = 162 meV per atom
M_tot = 0.0 μB/f.u.
space group = No. 123
calculated total energy = -11.52 eV/cell
mass density = 10.6 Mg/m³